1.
## Sc12Co6Pt (PBE)

Data for crystalline Sc12Co6Pt at its relaxed geometry. Values from VASP.

Cell and atoms, written as Quantum ESPRESSO input:
```
&SYSTEM
  ibrav = 0, nat = 19, ntyp = 3
/
ATOMIC_SPECIES
Pt 195.08 Pt.upf
Co 58.93 Co.upf
Sc 44.96 Sc.upf
CELL_PARAMETERS angstrom
-6.3031 1.7583 4.0337
3.7587 -5.7276 3.4869
4.5657 6.1688 -0.4376
ATOMIC_POSITIONS crystal
Pt 0.0000 0.0000 0.0000
Co 0.5000 0.8787 0.3787
Co 0.8787 0.3787 0.5000
Co 0.3787 0.5000 0.8787
Co 0.6213 0.5000 0.1213
Co 0.5000 0.1213 0.6213
Co 0.1213 0.6213 0.5000
Sc 0.2916 0.4869 0.1953
Sc 0.2916 0.0964 0.8047
Sc 0.7084 0.9036 0.1953
Sc 0.9036 0.1953 0.7084
Sc 0.8047 0.2916 0.0964
Sc 0.1953 0.7084 0.9036
Sc 0.8047 0.7084 0.5131
Sc 0.5131 0.8047 0.7084
Sc 0.7084 0.5131 0.8047
Sc 0.1953 0.2916 0.4869
Sc 0.0964 0.8047 0.2916
Sc 0.4869 0.1953 0.2916
```

The density of states at the Fermi level comes out at 17.7 states/eV/cell. The calculation puts the formation enthalpy at 0 K at -6.81 eV/f.u. The raw total energy is -6.92 eV per atom. As for the space group: Im-3, No. 204.

---

2.
## Sc6Co5Pt (PBE)

Data for crystalline Sc6Co5Pt at its relaxed geometry. Values from VASP.

Cell and atoms, written as Quantum ESPRESSO input:
```
&SYSTEM
  ibrav = 0, nat = 12, ntyp = 3
/
ATOMIC_SPECIES
Co 58.93 Co.upf
Sc 44.96 Sc.upf
Pt 195.08 Pt.upf
CELL_PARAMETERS angstrom
-0.3890 -4.4352 0.2046
1.4523 -0.4117 -6.1650
6.2767 -2.7363 1.6614
ATOMIC_POSITIONS crystal
Co 0.0000 0.5000 0.0000
Co 0.3334 0.0000 0.3337
Co 0.6666 0.0000 0.6663
Co 0.3344 0.5000 0.3312
Co 0.6656 0.5000 0.6688
Sc 0.8300 0.2536 0.3401
Sc 0.8300 0.7464 0.3401
Sc 0.5000 0.2584 0.0000
Sc 0.5000 0.7416 0.0000
Sc 0.1700 0.7464 0.6599
Sc 0.1700 0.2536 0.6599
Pt 0.0000 0.0000 0.0000
```

The density of states at the Fermi level comes out at 5.3 states/eV/cell. The calculation puts the formation enthalpy at 0 K at -6.13 eV/f.u. The raw total energy is -7.14 eV per atom. As for the space group: P2/m, No. 10.

---

3.
## ScCoPt2 (PBE)

Data for crystalline ScCoPt2 at its relaxed geometry. Values from VASP.

Cell and atoms, written as Quantum ESPRESSO input:
```
&SYSTEM
  ibrav = 0, nat = 4, ntyp = 3
/
ATOMIC_SPECIES
Pt 195.08 Pt.upf
Sc 44.96 Sc.upf
Co 58.93 Co.upf
CELL_PARAMETERS angstrom
-1.9580 -1.8849 -1.9955
-0.3457 -2.2623 2.4761
-4.5573 2.7488 1.8753
ATOMIC_POSITIONS crystal
Pt 0.5000 0.5000 0.2617
Pt 0.0000 0.0000 0.9621
Sc 0.0000 0.0000 0.4917
Co 0.5000 0.5000 0.7846
```

The density of states at the Fermi level comes out at 5.3 states/eV/cell. The calculation puts the formation enthalpy at 0 K at -2.00 eV/f.u. The raw total energy is -6.88 eV per atom. As for the space group: P4mm, No. 99.

---

4.
## Sc5CoPt (PBE)

Data for crystalline Sc5CoPt at its relaxed geometry. Values from VASP.

Cell and atoms, written as Quantum ESPRESSO input:
```
&SYSTEM
  ibrav = 0, nat = 14, ntyp = 3
/
ATOMIC_SPECIES
Co 58.93 Co.upf
Sc 44.96 Sc.upf
Pt 195.08 Pt.upf
CELL_PARAMETERS angstrom
6.0544 0.4655 -0.0181
2.3622 5.5940 -0.0181
3.0377 2.1869 9.1072
ATOMIC_POSITIONS crystal
Co 0.0000 0.0000 0.0000
Co 0.0000 0.0000 0.5000
Sc 0.5527 0.2226 0.0149
Sc 0.6000 0.9514 0.6455
Sc 0.9514 0.6000 0.1455
Sc 0.2226 0.5527 0.5149
Sc 0.4473 0.7774 0.9851
Sc 0.0424 0.9576 0.7500
Sc 0.9576 0.0424 0.2500
Sc 0.4000 0.0486 0.3545
Sc 0.0486 0.4000 0.8545
Sc 0.7774 0.4473 0.4851
Pt 0.4806 0.5194 0.7500
Pt 0.5194 0.4806 0.2500
```

The density of states at the Fermi level comes out at 16.2 states/eV/cell. The calculation puts the formation enthalpy at 0 K at -2.31 eV/f.u. The raw total energy is -6.73 eV per atom. As for the space group: C2/c, No. 15.

---

5.
## Sc4CoPt3 (PBE)

Data for crystalline Sc4CoPt3 at its relaxed geometry. Values from VASP.

Cell and atoms, written as Quantum ESPRESSO input:
```
&SYSTEM
  ibrav = 0, nat = 8, ntyp = 3
/
ATOMIC_SPECIES
Sc 44.96 Sc.upf
Pt 195.08 Pt.upf
Co 58.93 Co.upf
CELL_PARAMETERS angstrom
-1.2040 2.9998 -0.1030
-3.7257 -1.5737 -2.2824
-4.3145 -1.4553 8.0462
ATOMIC_POSITIONS crystal
Sc 0.0000 0.0000 0.0000
Sc 0.0000 0.0000 0.5000
Sc 0.0000 0.5000 0.2396
Sc 0.0000 0.5000 0.7604
Pt 0.5000 0.5000 0.5000
Pt 0.5000 0.0000 0.7529
Pt 0.5000 0.0000 0.2471
Co 0.5000 0.5000 0.0000
```

The density of states at the Fermi level comes out at 4.9 states/eV/cell. The calculation puts the formation enthalpy at 0 K at -8.14 eV/f.u. The raw total energy is -7.34 eV per atom. As for the space group: Pmmm, No. 47.

---

6.
## ScCoPt2 (PBE)

Data for crystalline ScCoPt2 at its relaxed geometry. Values from VASP.

Cell and atoms, written as Quantum ESPRESSO input:
```
&SYSTEM
  ibrav = 0, nat = 4, ntyp = 3
/
ATOMIC_SPECIES
Co 58.93 Co.upf
Pt 195.08 Pt.upf
Sc 44.96 Sc.upf
CELL_PARAMETERS angstrom
-7.2031 -4.4310 2.7786
-5.1962 -5.8111 4.2976
-6.3183 -3.3633 5.2920
ATOMIC_POSITIONS crystal
Co 0.2494 0.2494 0.2494
Pt 0.9940 0.9940 0.9940
Pt 0.7531 0.7531 0.7531
Sc 0.5035 0.5035 0.5035
```

The density of states at the Fermi level comes out at 5.5 states/eV/cell. The calculation puts the formation enthalpy at 0 K at -0.63 eV/f.u. The raw total energy is -6.54 eV per atom. As for the space group: R3m, No. 160.

---

7.
## ScCo2Pt2 (PBE)

Data for crystalline ScCo2Pt2 at its relaxed geometry. Values from VASP.

Cell and atoms, written as Quantum ESPRESSO input:
```
&SYSTEM
  ibrav = 0, nat = 10, ntyp = 3
/
ATOMIC_SPECIES
Pt 195.08 Pt.upf
Co 58.93 Co.upf
Sc 44.96 Sc.upf
CELL_PARAMETERS angstrom
7.2535 0.0000 0.0000
0.0000 7.2535 0.0000
0.0000 0.0000 2.8315
ATOMIC_POSITIONS crystal
Pt 0.1803 0.6803 0.5000
Pt 0.3197 0.1803 0.5000
Pt 0.8197 0.3197 0.5000
Pt 0.6803 0.8197 0.5000
Co 0.8845 0.6155 0.0000
Co 0.3845 0.8845 0.0000
Co 0.1155 0.3845 0.0000
Co 0.6155 0.1155 0.0000
Sc 0.0000 0.0000 0.0000
Sc 0.5000 0.5000 0.0000
```

Its distance to the lowest polymorph of the same formula is 1.94 kJ/mol of atoms. The density of states at the Fermi level comes out at 14.8 states/eV/cell. The calculation puts the formation enthalpy at 0 K at -1.86 eV/f.u. The raw total energy is -6.90 eV per atom. As for the space group: P4/mbm, No. 127.

---

8.
## Sc2CoPt2 (PBE)

Data for crystalline Sc2CoPt2 at its relaxed geometry. Values from VASP.

Cell and atoms, written as Quantum ESPRESSO input:
```
&SYSTEM
  ibrav = 0, nat = 10, ntyp = 3
/
ATOMIC_SPECIES
Co 58.93 Co.upf
Sc 44.96 Sc.upf
Pt 195.08 Pt.upf
CELL_PARAMETERS angstrom
7.5041 0.0000 0.0000
0.0000 7.5041 0.0000
0.0000 0.0000 3.1880
ATOMIC_POSITIONS crystal
Co 0.5000 0.5000 0.0000
Co 0.0000 0.0000 0.0000
Sc 0.8403 0.6597 0.0000
Sc 0.1597 0.3403 0.0000
Sc 0.3403 0.8403 0.0000
Sc 0.6597 0.1597 0.0000
Pt 0.3604 0.1396 0.5000
Pt 0.8604 0.3604 0.5000
Pt 0.1396 0.6396 0.5000
Pt 0.6396 0.8604 0.5000
```

Its distance to the lowest polymorph of the same formula is 17.50 kJ/mol of atoms. The density of states at the Fermi level comes out at 3.8 states/eV/cell. The calculation puts the formation enthalpy at 0 K at -2.74 eV/f.u. The raw total energy is -6.92 eV per atom. As for the space group: P4/mbm, No. 127.

---

9.
## ScCoPt2 (PBE)

Data for crystalline ScCoPt2 at its relaxed geometry. Values from VASP.

Cell and atoms, written as Quantum ESPRESSO input:
```
&SYSTEM
  ibrav = 0, nat = 4, ntyp = 3
/
ATOMIC_SPECIES
Pt 195.08 Pt.upf
Co 58.93 Co.upf
Sc 44.96 Sc.upf
CELL_PARAMETERS angstrom
4.8949 0.0002 0.0000
1.7905 4.5557 0.0000
-3.3427 -2.2779 2.7563
ATOMIC_POSITIONS crystal
Pt 0.0000 0.0000 0.0000
Pt 0.2500 0.7500 0.5000
Co 0.7500 0.2500 0.5000
Sc 0.5000 0.5000 0.0000
```

The density of states at the Fermi level comes out at 4.9 states/eV/cell. The calculation puts the formation enthalpy at 0 K at -2.63 eV/f.u. The raw total energy is -7.04 eV per atom. As for the space group: I-4m2, No. 119.

---

10.
## Sc5CoPt4 (PBE)

Data for crystalline Sc5CoPt4 at its relaxed geometry. Values from VASP.

Cell and atoms, written as Quantum ESPRESSO input:
```
&SYSTEM
  ibrav = 0, nat = 10, ntyp = 3
/
ATOMIC_SPECIES
Pt 195.08 Pt.upf
Sc 44.96 Sc.upf
Co 58.93 Co.upf
CELL_PARAMETERS angstrom
3.2329 0.0000 0.0000
0.0000 3.2329 0.0000
0.0000 0.0000 16.6820
ATOMIC_POSITIONS crystal
Pt 0.0000 0.0000 0.3968
Pt 0.0000 0.0000 0.8061
Pt 0.0000 0.0000 0.1939
Pt 0.0000 0.0000 0.6032
Sc 0.5000 0.5000 0.9079
Sc 0.5000 0.5000 0.2947
Sc 0.5000 0.5000 0.0921
Sc 0.5000 0.5000 0.7053
Sc 0.5000 0.5000 0.5000
Co 0.0000 0.0000 0.0000
```

The density of states at the Fermi level comes out at 4.4 states/eV/cell. The calculation puts the formation enthalpy at 0 K at -10.68 eV/f.u. The raw total energy is -7.36 eV per atom. As for the space group: P4/mmm, No. 123.

---

11.
## ScCo4Pt (PBE)

Data for crystalline ScCo4Pt at its relaxed geometry. Values from VASP.

Cell and atoms, written as Quantum ESPRESSO input:
```
&SYSTEM
  ibrav = 0, nat = 6, ntyp = 3
/
ATOMIC_SPECIES
Co 58.93 Co.upf
Sc 44.96 Sc.upf
Pt 195.08 Pt.upf
CELL_PARAMETERS angstrom
0.0000 3.3987 3.3987
3.3987 0.0000 3.3987
3.3987 3.3987 0.0000
ATOMIC_POSITIONS crystal
Co 0.6246 0.6246 0.6246
Co 0.1262 0.6246 0.6246
Co 0.6246 0.1262 0.6246
Co 0.6246 0.6246 0.1262
Sc 0.0000 0.0000 0.0000
Pt 0.2500 0.2500 0.2500
```

The density of states at the Fermi level comes out at 6.5 states/eV/cell. The calculation puts the formation enthalpy at 0 K at -1.85 eV/f.u. The raw total energy is -7.11 eV per atom. As for the space group: F-43m, No. 216.

---

12.
## ScCoPt2 (PBE)

Data for crystalline ScCoPt2 at its relaxed geometry. Values from VASP.

Cell and atoms, written as Quantum ESPRESSO input:
```
&SYSTEM
  ibrav = 0, nat = 4, ntyp = 3
/
ATOMIC_SPECIES
Sc 44.96 Sc.upf
Co 58.93 Co.upf
Pt 195.08 Pt.upf
CELL_PARAMETERS angstrom
-3.5401 3.0828 1.1635
-4.3469 1.6899 -1.2800
-2.8612 -2.7718 2.5248
ATOMIC_POSITIONS crystal
Sc 0.5019 0.5019 0.5122
Co 0.2546 0.2546 0.2142
Pt 0.7500 0.7500 0.7399
Pt 0.9935 0.9935 0.0337
```

The density of states at the Fermi level comes out at 3.1 states/eV/cell. The calculation puts the formation enthalpy at 0 K at -2.21 eV/f.u. The raw total energy is -6.93 eV per atom. As for the space group: Cm, No. 8.

---

Look up the raw total energy of the eighth one.
-6.92 eV per atom

---

Which value of formation enthalpy at 0 K does entry 9 give?
-2.63 eV/f.u.